Entry 1:
Compound: KHg2Br7
Source: Alexandria
Functional: PBE
Structure: relaxed

abc: 7.889 21.884 4.400
angles: 90.00 90.00 90.00
Space group Cmmm (No. 65)
Symmetry-distinct sites (fractional):
K (0.000, 0.000, 0.000) x2
Hg (0.000, 0.339, 0.500) x4
Br (0.000, 0.268, 0.000) x4
Br (0.000, 0.500, 0.500) x2
Br (0.210, 0.095, 0.500) x8

## Properties
The value obtained for the total energy is -1.8149 eV per atom. The calculated density comes out at 4.4 g/cm3. For the uncorrected formation energy, the calculation gives -457 kJ/mol of formula units. The calculation puts the volume at 38.0 Å³ per atom.

***

Entry 2:
Compound: V5Cr4Pd
Source: Alexandria
Functional: PBE
Structure: relaxed

abc: 2.926 2.926 14.999
angles: 90.00 90.00 90.00
Space group P4/mmm (No. 123)
Symmetry-distinct sites (fractional):
V (0.000, 0.000, 0.000) x1
V (0.000, 0.000, 0.194) x2
V (0.000, 0.000, 0.382) x2
Cr (0.500, 0.500, 0.097) x2
Cr (0.500, 0.500, 0.293) x2
Pd (0.500, 0.500, 0.500) x1

## Properties
For the energy of formation from the pure elements, the calculation gives -92 meV/atom. The value obtained for the total energy is -9.0203 eV per atom. The calculated density comes out at 7.4 g/cm3. The calculation puts the volume at 12.8 Å³ per atom.

***

Entry 3:
Compound: La2BeNi
Source: Alexandria
Functional: PBE
Structure: relaxed

abc: 3.897 4.215 6.112
angles: 90.00 108.44 90.00
Space group Pm (No. 6)
Symmetry-distinct sites (fractional):
La (0.000, 0.000, 0.000) x1
La (0.276, 0.500, 0.553) x1
Be (0.690, 0.000, 0.380) x1
Ni (0.600, 0.500, 0.200) x1

## Properties
For the energy of formation from the pure elements, the calculation gives -98 meV/atom. The value obtained for the total energy is -4.9387 eV per atom. The calculated density comes out at 6.0 g/cm3. The calculation puts the volume at 23.8 Å³ per atom.

***

Entry 4:
Compound: LiAgP2Cl
Source: Alexandria
Functional: PBE
Structure: relaxed

abc: 4.394 4.394 4.923
angles: 90.00 90.00 90.00
Space group P4/mmm (No. 123)
Symmetry-distinct sites (fractional):
Li (0.000, 0.000, 0.000) x1
Ag (0.500, 0.500, 0.500) x1
P (0.000, 0.500, 0.000) x2
Cl (0.000, 0.000, 0.500) x1

## Properties
The value obtained for the total energy is -2.9082 eV per atom. The value obtained for the energy above the most stable polymorph in this dataset is 0.130 eV/atom. The calculated density comes out at 3.7 g/cm3. For the uncorrected formation energy, the calculation gives 279 kJ/mol of formula units. The calculation puts the volume at 19.0 Å³ per atom.

***

Entry 5:
Compound: BaTl2Cd9
Source: Alexandria
Functional: PBE
Structure: relaxed

abc: 6.1592 6.1592 29.0864
angles: 90.00 90.00 120.00
Space group R-3m (No. 166, hexagonal axes)
Symmetry-distinct sites (fractional):
Ba (0.0000, 0.0000, 0.0000) x3
Tl (0.0000, 0.0000, 0.1419) x6
Cd (0.0000, 0.0000, 0.3336) x6
Cd (0.0000, 0.0000, 0.5000) x3
Cd (0.0050, 0.5025, 0.9147) x18

## Properties
For the energy of formation from the pure elements, the calculation gives -115 meV/atom. The value obtained for the total energy is -1.3556 eV per atom. The calculated density comes out at 8.1 g/cm3. The calculation puts the volume at 26.5 Å³ per atom.

***

Entry 6:
Compound: CS
Source: Alexandria
Functional: PBE
Structure: relaxed

abc: 3.9212 3.9212 4.5572
angles: 90.00 90.00 120.00
Space group P6_3mc (No. 186)
Symmetry-distinct sites (fractional):
C (0.3333, 0.6667, 0.0000) x2
S (0.3333, 0.6667, 0.3577) x2

## Properties
The value obtained for the total energy is -4.9351 eV per atom. The value obtained for the energy above the most stable polymorph in this dataset is 0.516 eV/atom. The calculated density comes out at 2.4 g/cm3. For the uncorrected formation energy, the calculation gives 336 kJ/mol of formula units. The calculation puts the volume at 15.2 Å³ per atom.

***

Here are the calculated total moment numbers, same order: 0.129 0.002 0.000 0.000 0.000 0.000 (μB per atom).